[1]
A plane-wave DFT calculation with PBE was carried out for Nd3P4Pd2 after structural relaxation.

Cell: 6.913 6.913 8.182 Å, 114.99 114.99 34.35°
Atoms (fractional coordinates):
1 Nd 0.000 0.000 0.000
2 Nd 0.342 0.342 0.253
3 Nd 0.658 0.658 0.747
4 P 0.037 0.037 0.401
5 P 0.327 0.327 0.892
6 P 0.673 0.673 0.108
7 P 0.963 0.963 0.599
8 Pd 0.387 0.387 0.653
9 Pd 0.613 0.613 0.347

Summary:
* calculated formation energy: -1.14 eV/atom
* space-group type: C2/m, No. 12
* total DFT energy (no corrections): -56.5 eV for the cell shown

=====

[2]
A plane-wave DFT calculation with PBE was carried out for Nd3P2Pd5 after structural relaxation.

Cell: 8.824 8.824 8.824 Å, 99.64 93.81 140.00°
Atoms (fractional coordinates):
1 Nd 0.124 0.705 0.829
2 Nd 0.250 0.250 0.000
3 Nd 0.376 0.205 0.582
4 Nd 0.624 0.795 0.418
5 Nd 0.750 0.750 0.000
6 Nd 0.876 0.295 0.171
7 P 0.145 0.142 0.287
8 P 0.355 0.642 0.997
9 P 0.645 0.358 0.003
10 P 0.855 0.858 0.713
11 Pd 0.002 0.250 0.752
12 Pd 0.128 0.344 0.472
13 Pd 0.250 0.750 0.500
14 Pd 0.372 0.844 0.216
15 Pd 0.498 0.250 0.248
16 Pd 0.502 0.750 0.752
17 Pd 0.628 0.156 0.784
18 Pd 0.750 0.250 0.500
19 Pd 0.872 0.656 0.528
20 Pd 0.998 0.750 0.248

Summary:
* calculated formation energy: -0.79 eV/atom
* space-group type: Ibam, No. 72
* total DFT energy (no corrections): -117.9 eV for the cell shown